Record 1
An optimized crystal structure of RbNb, computed with PBE.

It has space group P6_3/m (No. 176), with a = 14.1812 Å, b = 14.1812 Å, c = 3.1360 Å, α = 90.00°, β = 90.00° and γ = 120.00°. The asymmetric unit holds Rb at (0.0428, 0.6779, 0.2500) and Nb at (0.2304, 0.5647, 0.2500).

The density of states at the Fermi level is 2.4 states/eV/f.u. Its energy above the most stable polymorph in this dataset is 492 meV/atom.

***

Record 2
An optimized crystal structure of RbNb4, computed with PBE.

It has space group Pm-3m (No. 221), with a = 4.773 Å, b = 4.773 Å, c = 4.773 Å, α = 90.00°, β = 90.00° and γ = 90.00°. The asymmetric unit holds Rb at (0.000, 0.000, 0.000), Nb at (0.000, 0.000, 0.500) and Nb at (0.500, 0.500, 0.500).

The density of states at the Fermi level is 8.2 states/eV/f.u.

***

Record 3
An optimized crystal structure of RbNb, computed with PBE.

It has space group P4_2/mnm (No. 136), with a = 7.501 Å, b = 7.501 Å, c = 7.441 Å, α = 90.00°, β = 90.00° and γ = 90.00°. The asymmetric unit holds Rb at (0.166, 0.166, 0.000) and Nb at (0.100, 0.100, 0.500).

The density of states at the Fermi level is 2.6 states/eV/f.u. Its energy above the most stable polymorph in this dataset is 1067 meV/atom.

***

Record 4
An optimized crystal structure of RbNb, computed with PBE.

It has space group I4/m (No. 87), with a = 16.164 Å, b = 16.164 Å, c = 3.178 Å, α = 90.00°, β = 90.00° and γ = 90.00°. The asymmetric unit holds Rb at (0.031, 0.736, 0.000) and Nb at (0.191, 0.248, 0.000).

The density of states at the Fermi level is 2.0 states/eV/f.u. Its energy above the most stable polymorph in this dataset is 591 meV/atom.

***

Record 5
An optimized crystal structure of RbNb, computed with PBE.

It has space group Fddd (No. 70, origin choice 2), with a = 7.096 Å, b = 11.086 Å, c = 16.811 Å, α = 90.00°, β = 90.00° and γ = 90.00°. The asymmetric unit holds Rb at (0.125, 0.287, 0.125) and Nb at (0.125, 0.125, 0.561).

The density of states at the Fermi level is 2.6 states/eV/f.u. Its energy above the most stable polymorph in this dataset is 788 meV/atom.

***

Record 6
An optimized crystal structure of RbNb, computed with PBE.

It has space group P2_12_12_1 (No. 19), with a = 4.902 Å, b = 11.469 Å, c = 12.410 Å, α = 90.00°, β = 90.00° and γ = 90.00°. The asymmetric unit holds Rb at (0.001, 0.113, 0.107), Rb at (0.001, 0.113, 0.764), Nb at (0.003, 0.618, 0.066) and Nb at (0.003, 0.804, 0.976).

The density of states at the Fermi level is 1.4 states/eV/f.u. Its energy above the most stable polymorph in this dataset is 279 meV/atom.

***

Record 7
An optimized crystal structure of RbNb, computed with PBE.

It has space group F-43m (No. 216), with a = 6.227 Å, b = 6.227 Å, c = 6.227 Å, α = 90.00°, β = 90.00° and γ = 90.00°. The asymmetric unit holds Rb at (0.000, 0.000, 0.000) and Nb at (0.250, 0.250, 0.750).

The density of states at the Fermi level is 2.6 states/eV/f.u. Its energy above the most stable polymorph in this dataset is 3009 meV/atom.

***

Record 8
An optimized crystal structure of Rb3Nb, computed with PBE.

It has space group P6_3/mmc (No. 194), with a = 8.7325 Å, b = 8.7325 Å, c = 6.7805 Å, α = 90.00°, β = 90.00° and γ = 120.00°. The asymmetric unit holds Rb at (0.1791, 0.3582, 0.2500) and Nb at (0.3333, 0.6667, 0.7500).

The density of states at the Fermi level is 5.7 states/eV/f.u. Its energy above the most stable polymorph in this dataset is 6 meV/atom.

***

Sequential energy of formation from the pure elements output: 1192.3 2752.0 1767.8 1291.2 1488.8 979.4 3709.6 1168.2 meV per atom
Sequential calculated volume output: 546.17 108.77 418.64 830.29 1322.46 697.71 241.48 447.78 Å³/cell
Sequential size of the total moment output: 0.01 0.00 1.84 0.00 6.51 0.00 0.00 10.52 μB per cell